A plane-wave DFT calculation with GGA-PBE was carried out for an optimized crystal structure of PmNdDy4.

Unit cell a=11.3456 b=5.0511 c=7.1775 alpha=90.00 beta=108.54 gamma=90.00
Space group C2/m (No. 12)
One atom of each set of equivalent atoms:
1 Pm 0.0000 0.0000 0.0000 [2 per cell]
2 Nd 0.0000 0.0000 0.5000 [2 per cell]
3 Dy 0.1674 0.5000 0.3334 [4 per cell]
4 Dy 0.1678 0.5000 0.8341 [4 per cell]

Calculated values
The formation energy is 0.018 eV/atom. For the excess energy over the best structure of this formula in the dataset, the calculation gives 0.00 eV/f.u.

=====

A plane-wave DFT calculation with GGA-PBE was carried out for an optimized crystal structure of ErZrCu10.

Unit cell a=4.0895 b=4.9647 c=8.5406 alpha=90.00 beta=90.00 gamma=90.00
Space group Pmmm (No. 47)
One atom of each set of equivalent atoms:
1 Er 0.0000 0.0000 0.0000 [1 per cell]
2 Zr 0.0000 0.5000 0.5000 [1 per cell]
3 Cu 0.0000 0.0000 0.3370 [2 per cell]
4 Cu 0.0000 0.5000 0.1713 [2 per cell]
5 Cu 0.5000 0.0000 0.5000 [1 per cell]
6 Cu 0.5000 0.2529 0.2547 [4 per cell]
7 Cu 0.5000 0.5000 0.0000 [1 per cell]

Calculated values
The formation energy is -0.118 eV/atom.

=====

A plane-wave DFT calculation with GGA-PBE was carried out for an optimized crystal structure of Ba2CdGePt.

Unit cell a=6.2632 b=6.2632 c=4.7345 alpha=90.00 beta=90.00 gamma=90.00
Space group P4/mmm (No. 123)
One atom of each set of equivalent atoms:
1 Ba 0.0000 0.5000 0.0000 [2 per cell]
2 Cd 0.0000 0.0000 0.5000 [1 per cell]
3 Ge 0.5000 0.5000 0.5000 [1 per cell]
4 Pt 0.5000 0.5000 0.0000 [1 per cell]

Calculated values
The formation energy is -0.487 eV/atom.

=====

A plane-wave DFT calculation with GGA-PBE was carried out for an optimized crystal structure of TePAu2.

Unit cell a=5.5781 b=7.5753 c=3.8898 alpha=90.00 beta=90.00 gamma=90.00
Space group Cmmm (No. 65)
One atom of each set of equivalent atoms:
1 Te 0.0000 0.0000 0.0000 [2 per cell]
2 P 0.0000 0.5000 0.0000 [2 per cell]
3 Au 0.2500 0.2500 0.5000 [4 per cell]

Calculated values
For the energy relative to the elements, uncorrected, the calculation gives 427 meV/atom. For the excess energy over the best structure of this formula in the dataset, the calculation gives 1.47 eV/f.u.

=====

Question: What is the formula in the first record?
Answer: PmNdDy4